Compound: SrCaCI2
Source: Alexandria
Functional: GGA-PBE
Structure: optimized geometry

- Formation energy (no corrections): 0.255 eV per atom
- Crystal system: tetragonal
- SG: P4/mmm

Cell: 6.394 4.958 6.394 Å, 90.00 90.00 90.00°
Site moments in Bohr magnetons follow the coordinates.
Fractional coordinates of all 5 atoms:
1 Ca 0.500 0.500 0.500  -0.03
2 I 0.500 0.000 0.000  0.03
3 I 0.000 0.000 0.500  0.02
4 C 0.000 0.500 0.000  0.88
5 Sr 0.000 0.000 0.000  0.08